# 1
YTlCu3 | GGA-PBE | optimized geometry

Summary:
energy above the most stable polymorph in this dataset = 0 meV/atom

Cell: 4.8353 4.8353 4.8353 Å, 90.00 90.00 90.00°
With the nearest neighbours (Å) after each atom.
Sites, in units of the cell vectors:
Y  0.0000  0.0000  0.0000  12 Cu 3.42
Tl  0.5000  0.5000  0.5000  6 Cu 2.42
Cu  0.0000  0.5000  0.5000  2 Tl 2.42
Cu  0.5000  0.0000  0.5000  2 Tl 2.42
Cu  0.5000  0.5000  0.0000  2 Tl 2.42



# 2
YTl2Cu | GGA-PBE | optimized geometry

Summary:
energy above the most stable polymorph in this dataset = 64 meV/atom

Cell: 5.0978 5.0978 5.0978 Å, 60.00 60.00 60.00°
With the nearest neighbours (Å) after each atom.
Sites, in units of the cell vectors:
Y  0.0000  0.0000  0.0000  8 Tl 3.12
Tl  0.2500  0.2500  0.2500  4 Cu 3.12, 4 Y 3.12
Tl  0.7500  0.7500  0.7500  4 Y 3.12, 4 Cu 3.12
Cu  0.5000  0.5000  0.5000  8 Tl 3.12



# 3
YTl4Cu | GGA-PBE | optimized geometry

Cell: 6.2291 6.2291 6.2291 Å, 60.00 60.00 60.00°
With the nearest neighbours (Å) after each atom.
Sites, in units of the cell vectors:
Y  0.0000  0.0000  0.0000  12 Tl 3.65, 4 Cu 3.81
Tl  0.3751  0.3751  0.3751  6 Tl 3.11-3.12
Tl  0.3751  0.3751  0.8747  6 Tl 3.11-3.12
Tl  0.3751  0.8747  0.3751  6 Tl 3.11-3.12
Tl  0.8747  0.3751  0.3751  6 Tl 3.11-3.12
Cu  0.7500  0.7500  0.7500  12 Tl 3.65, 4 Y 3.81



# 4
Y11Tl9Cu4 | GGA-PBE | optimized geometry

Cell: 13.1969 13.1969 3.7651 Å, 90.00 90.00 112.63°
With the nearest neighbours (Å) after each atom.
Sites, in units of the cell vectors:
Y  0.0000  0.0000  0.0000  8 Tl 3.25, 2 Y 3.58
Y  0.0793  0.4162  0.0000  2 Cu 2.87, 4 Tl 3.19-3.21
Y  0.1631  0.8369  0.0000  8 Tl 3.28-3.42, 3 Y 3.58-3.63
Y  0.3065  0.3065  0.0000  4 Cu 2.94
Y  0.3713  0.6287  0.0000  4 Cu 2.95
Y  0.4162  0.0793  0.0000  2 Cu 2.87, 4 Tl 3.19-3.21
Y  0.5838  0.9207  0.0000  2 Cu 2.87, 4 Tl 3.19-3.21
Y  0.6287  0.3713  0.0000  4 Cu 2.95
Y  0.6935  0.6935  0.0000  4 Cu 2.94
Y  0.8369  0.1631  0.0000  8 Tl 3.28-3.42, 3 Y 3.58-3.63
Y  0.9207  0.5838  0.0000  2 Cu 2.87, 4 Tl 3.19-3.21
Tl  0.0685  0.2170  0.5000  1 Cu 3.11, 8 Y 3.19-3.46, 1 Tl 3.26
Tl  0.1514  0.6292  0.5000  1 Cu 3.14, 8 Y 3.21-3.46, 1 Tl 3.21
Tl  0.2170  0.0685  0.5000  1 Cu 3.11, 8 Y 3.19-3.46, 1 Tl 3.26
Tl  0.3708  0.8486  0.5000  1 Cu 3.14, 8 Y 3.21-3.46, 1 Tl 3.21
Tl  0.5000  0.5000  0.5000  4 Cu 3.06, 8 Y 3.40
Tl  0.6292  0.1514  0.5000  1 Cu 3.14, 8 Y 3.21-3.46, 1 Tl 3.21
Tl  0.7830  0.9315  0.5000  1 Cu 3.11, 8 Y 3.19-3.46, 1 Tl 3.26
Tl  0.8486  0.3708  0.5000  1 Cu 3.14, 8 Y 3.21-3.46, 1 Tl 3.21
Tl  0.9315  0.7830  0.5000  1 Cu 3.11, 8 Y 3.19-3.46, 1 Tl 3.26
Cu  0.2536  0.4504  0.5000  6 Y 2.87-2.95, 3 Tl 3.06-3.14
Cu  0.4504  0.2536  0.5000  6 Y 2.87-2.95, 3 Tl 3.06-3.14
Cu  0.5496  0.7464  0.5000  6 Y 2.87-2.95, 3 Tl 3.06-3.14
Cu  0.7464  0.5496  0.5000  6 Y 2.87-2.95, 3 Tl 3.06-3.14



# 5
Y4Tl3Cu | GGA-PBE | optimized geometry

Cell: 3.5909 3.5909 16.1066 Å, 90.00 90.00 90.00°
With the nearest neighbours (Å) after each atom.
Sites, in units of the cell vectors:
Y  0.0000  0.0000  0.1051  4 Cu 3.05, 4 Tl 3.30, 1 Y 3.39
Y  0.0000  0.0000  0.3682  8 Tl 3.31, 4 Y 3.59
Y  0.0000  0.0000  0.6318  8 Tl 3.31, 4 Y 3.59
Y  0.0000  0.0000  0.8949  4 Cu 3.05, 4 Tl 3.30, 1 Y 3.39
Tl  0.5000  0.5000  0.2362  8 Y 3.30-3.31, 4 Tl 3.59
Tl  0.5000  0.5000  0.5000  8 Y 3.31, 4 Tl 3.59
Tl  0.5000  0.5000  0.7638  8 Y 3.30-3.31, 4 Tl 3.59
Cu  0.5000  0.5000  0.0000  8 Y 3.05



# 6
YTl2Cu2 | GGA-PBE | optimized geometry

Summary:
energy above the most stable polymorph in this dataset = 63 meV/atom

Cell: 6.3439 6.3439 6.3439 Å, 138.64 138.64 59.93°
With the nearest neighbours (Å) after each atom.
Sites, in units of the cell vectors:
Y  0.0000  0.0000  0.0000  8 Tl 3.47, 8 Cu 3.55
Tl  0.3711  0.3711  0.0000  4 Cu 2.61, 1 Tl 2.83
Tl  0.6289  0.6289  0.0000  4 Cu 2.61, 1 Tl 2.83
Cu  0.2500  0.7500  0.5000  4 Tl 2.61
Cu  0.7500  0.2500  0.5000  4 Tl 2.61



# 7
YTl2Cu | GGA-PBE | optimized geometry

Summary:
energy above the most stable polymorph in this dataset = 190 meV/atom

Cell: 6.3168 6.3168 3.7309 Å, 106.56 106.56 121.02°
With the nearest neighbours (Å) after each atom.
Sites, in units of the cell vectors:
Y  0.0000  0.0000  0.0000  4 Cu 3.11-3.19, 4 Tl 3.18
Tl  0.0000  0.5000  0.5000  4 Tl 3.11-3.19, 2 Cu 3.18, 2 Y 3.18
Tl  0.5000  0.0000  0.5000  4 Tl 3.11-3.19, 2 Cu 3.18, 2 Y 3.18
Cu  0.5000  0.5000  0.0000  4 Y 3.11-3.19, 4 Tl 3.18



# 8
Y3TlCu8 | GGA-PBE | optimized geometry

Cell: 9.0860 9.0860 9.0860 Å, 33.40 33.40 33.40°
With the nearest neighbours (Å) after each atom.
Sites, in units of the cell vectors:
Y  0.0000  0.0000  0.0000  12 Cu 3.04-3.13, 3 Tl 3.14, 1 Y 3.22
Y  0.1254  0.1254  0.1254  12 Cu 3.01-3.10, 4 Y 3.22-3.27
Y  0.5083  0.5083  0.5083  12 Cu 2.99-3.15, 1 Tl 3.19, 3 Y 3.27
Tl  0.6323  0.6323  0.6323  12 Cu 3.02-3.14, 4 Y 3.14-3.19
Cu  0.0676  0.0676  0.5586  6 Cu 2.56-2.66
Cu  0.0676  0.5586  0.0676  6 Cu 2.56-2.66
Cu  0.0700  0.5659  0.5659  6 Cu 2.59-2.65
Cu  0.3154  0.3154  0.3154  6 Cu 2.62-2.65
Cu  0.5586  0.0676  0.0676  6 Cu 2.56-2.66
Cu  0.5659  0.0700  0.5659  6 Cu 2.59-2.65
Cu  0.5659  0.5659  0.0700  6 Cu 2.59-2.65
Cu  0.8163  0.8163  0.8163  6 Cu 2.60-2.61



no.,ΔH_f (0 K) (eV/atom)
1,0.5191
2,-0.0227
3,0.3533
4,-0.3461
5,-0.3434
6,0.0551
7,0.1038
8,-0.1670